# 1
A plane-wave DFT calculation with GGA-PBEsol was carried out for Sr2Hg after structural relaxation.

Properties
total magnetization: 0.0 μB per formula unit
energy of formation: -8.8 kcal/mol of atoms

The structure in extended XYZ format:
```
6
Lattice="-1.081 1.355 3.776 -1.212 -7.455 0.042 7.161 -1.150 2.464" Properties=species:S:1:pos:R:3 pbc="T T T"
Hg 0.145 -1.645 0.632
Sr 5.044 -0.550 3.928
Sr 5.377 -4.282 5.362
Sr 0.415 -6.796 2.557
Hg 2.238 -5.207 4.795
Sr 2.575 -3.464 1.980
```



# 2
A plane-wave DFT calculation with GGA-PBEsol was carried out for Rb2InI6O18 after structural relaxation.

Properties
formation energy without anion corrections: -1730 kJ/mol of formula units
total magnetization: 0.0 μB per formula unit

The structure in extended XYZ format:
```
27
Lattice="7.641 -0.032 -0.044 -1.016 7.572 0.024 -1.010 -1.217 7.476" Properties=species:S:1:pos:R:3 pbc="T T T"
O 2.999 1.452 5.776
O 4.888 3.259 1.337
O 2.616 4.871 1.681
I 2.247 0.624 1.464
Rb 5.200 5.895 2.497
O 0.727 3.064 6.120
I 1.249 4.553 2.878
O 0.451 0.330 1.456
I 4.366 1.770 4.579
In 3.312 3.770 -0.010
O 3.498 4.299 7.186
O 0.981 6.327 3.182
O 5.227 0.631 0.690
I 3.368 5.699 5.993
Rb 0.415 0.428 4.960
O -0.040 4.254 1.584
I 6.285 2.062 1.197
O 2.116 2.025 0.271
I -0.670 4.261 6.260
O 4.633 -0.004 4.275
O 2.387 1.697 2.965
O 3.228 4.626 4.492
O 5.163 5.993 6.001
O -0.730 4.539 4.462
O 6.345 1.784 2.995
O 5.654 2.069 5.873
O 0.388 5.692 6.767
```



# 3
A plane-wave DFT calculation with GGA-PBEsol was carried out for CuRu2Cl after structural relaxation.

Properties
offset from the most stable computed form: 558 meV per atom
formation energy without anion corrections: 311 kJ/mol of formula units
total magnetization: 0.0 μB per formula unit

The structure in extended XYZ format:
```
4
Lattice="-0.970 2.484 -0.493 -2.989 -1.699 -2.679 -2.951 -0.443 3.573" Properties=species:S:1:pos:R:3 pbc="T T T"
Ru 0.000 0.000 0.000
Cl -1.979 0.393 -1.586
Cu -2.970 -1.071 0.447
Ru -1.960 1.021 1.540
```



# 4
A plane-wave DFT calculation with GGA-PBEsol was carried out for Tl2PtBr after structural relaxation.

Properties
offset from the most stable computed form: 51 meV per atom
formation energy without anion corrections: 48 kJ/mol of formula units
total magnetization: 0.0 μB per formula unit

The structure in extended XYZ format:
```
4
Lattice="4.072 0.000 0.000 0.000 4.072 0.000 -2.036 -2.036 6.004" Properties=species:S:1:pos:R:3 pbc="T T T"
Br 2.036 2.036 0.000
Tl 2.036 0.000 3.002
Tl 0.000 0.000 0.000
Pt 0.000 2.036 3.002
```



# 5
A plane-wave DFT calculation with GGA-PBEsol was carried out for LaAgTeRh2 after structural relaxation.

Properties
formation energy without anion corrections: 225 kJ/mol of formula units
total magnetization: 0.0 μB per formula unit

The structure in extended XYZ format:
```
5
Lattice="4.877 0.000 0.000 0.000 4.877 0.000 0.000 0.000 4.982" Properties=species:S:1:pos:R:3 pbc="T T T"
Rh 0.000 2.438 0.000
Te 0.000 0.000 2.491
Ag 0.000 0.000 0.000
Rh 2.438 0.000 0.000
La 2.438 2.438 2.491
```



# 6
A plane-wave DFT calculation with GGA-PBEsol was carried out for Mg2SbTe after structural relaxation.

Properties
offset from the most stable computed form: 0 meV per atom
formation energy without anion corrections: -184 kJ/mol of formula units
total magnetization: 0.0 μB per formula unit

The structure in extended XYZ format:
```
4
Lattice="4.003 0.000 0.000 -2.002 3.468 -0.029 0.000 -2.254 7.387" Properties=species:S:1:pos:R:3 pbc="T T T"
Te 0.000 -1.127 3.694
Mg 0.000 1.172 1.916
Mg 2.002 0.042 5.442
Sb 2.002 0.000 0.000
```